Entry 1:
The following is a GGA-PBE calculation of crystalline UTeCl at its relaxed geometry, from the Alexandria database.

## Properties
As for the crystal system: tetragonal. As for the magnetic moment: 2.9 μB per cell. As for the space group: I4mm (107). For the raw formation energy, the calculation gives -0.9093 eV/atom.

Structure (POSCAR):
```
UTeCl
1.0
-0.262 -2.417 -2.679
-1.030 -2.525 2.378
-5.780 4.208 -0.789
Te U Cl
1 1 1
Direct
0.037 0.037 0.074
0.672 0.672 0.344
0.291 0.291 0.582
```

***

Entry 2:
The following is a GGA-PBE calculation of crystalline TaBr at its relaxed geometry, from the Alexandria database.

## Properties
As for the crystal system: tetragonal. As for the magnetic moment: 0.0 μB per cell. As for the space group: I4/m (87). For the raw formation energy, the calculation gives 0.2454 eV/atom.

Structure (POSCAR):
```
TaBr
1.0
-8.839 0.813 -7.644
-0.974 -11.673 -0.116
-2.077 0.149 2.417
Ta Br
8 8
Direct
0.305 0.179 0.000
0.695 0.821 0.000
0.821 0.305 0.000
0.179 0.695 0.000
0.805 0.679 0.500
0.195 0.321 0.500
0.321 0.805 0.500
0.679 0.195 0.500
0.493 0.722 0.000
0.507 0.278 0.000
0.278 0.493 0.000
0.722 0.507 0.000
0.993 0.222 0.500
0.007 0.778 0.500
0.778 0.993 0.500
0.222 0.007 0.500
```

***

Entry 3:
The following is a GGA-PBE calculation of crystalline Li2HfPbCl8 at its relaxed geometry, from the Alexandria database.

## Properties
As for the crystal system: triclinic. As for the magnetic moment: 0.0 μB per cell. As for the space group: P-1 (2). For the raw formation energy, the calculation gives -1.6481 eV/atom.

Structure (POSCAR):
```
Li2HfPbCl8
1.0
-4.192 3.093 3.950
5.015 -1.607 4.480
5.394 6.340 0.470
Li Hf Pb Cl
2 1 1 8
Direct
0.533 0.354 0.684
0.467 0.646 0.316
0.000 0.000 0.000
0.000 0.000 0.500
0.126 0.778 0.273
0.665 0.761 0.053
0.874 0.205 0.155
0.874 0.222 0.727
0.335 0.239 0.947
0.126 0.795 0.845
0.609 0.722 0.556
0.391 0.278 0.444
```

***

Entry 4:
The following is a GGA-PBE calculation of crystalline TaB3H at its relaxed geometry, from the Alexandria database.

## Properties
As for the crystal system: cubic. For the polymorph energy (0 for the lowest one), the calculation gives 0.000 eV per atom. As for the magnetic moment: 0.0 μB per cell. As for the space group: Pm-3m (221).

Structure (POSCAR):
```
TaB3H
1.0
-0.750 2.523 2.142
-1.475 -2.221 2.099
2.963 -0.467 1.587
H B Ta
1 3 1
Direct
0.000 0.000 0.000
0.000 0.500 0.000
0.000 0.000 0.500
0.500 0.000 0.000
0.500 0.500 0.500
```

***

Entry 5:
The following is a GGA-PBE calculation of crystalline LiCeGdAg at its relaxed geometry, from the Alexandria database.

## Properties
As for the crystal system: cubic. As for the magnetic moment: 6.8 μB per cell. For the uncorrected energy, the calculation gives -0.453 Ry per atom. As for the space group: F-43m (216).

Structure (POSCAR):
```
LiCeGdAg
1.0
5.248 0.000 0.000
2.624 4.545 0.000
2.624 1.515 4.285
Gd Ag Ce Li
1 1 1 1
Direct
0.250 0.250 0.250
0.500 0.500 0.500
0.750 0.750 0.750
0.000 0.000 0.000
```

***

Entry 6:
The following is a GGA-PBE calculation of crystalline AgIN3 at its relaxed geometry, from the Alexandria database.

## Properties
As for the crystal system: cubic. As for the magnetic moment: 0.0 μB per cell. As for the space group: Pm-3m (221). For the raw formation energy, the calculation gives 2.6269 eV/atom.

Structure (POSCAR):
```
AgIN3
1.0
-3.226 1.655 1.879
1.797 -0.606 3.617
1.745 3.684 -0.249
I Ag N
1 1 3
Direct
0.500 0.500 0.500
0.000 0.000 0.000
0.000 0.500 0.000
0.000 0.000 0.500
0.500 0.000 0.000
```

***

Entry 7:
The following is a GGA-PBE calculation of crystalline TlHg2Mo at its relaxed geometry, from the Alexandria database.

## Properties
As for the crystal system: cubic. For the polymorph energy (0 for the lowest one), the calculation gives 0.260 eV per atom. As for the magnetic moment: 3.4 μB per cell. As for the space group: Fm-3m (225).

Structure (POSCAR):
```
TlHg2Mo
1.0
0.000 3.591 3.591
3.591 0.000 3.591
3.591 3.591 0.000
Mo Tl Hg
1 1 2
Direct
0.000 0.000 0.000
0.500 0.500 0.500
0.250 0.250 0.250
0.750 0.750 0.750
```

***

Entry 8:
The following is a GGA-PBE calculation of crystalline SiNi2Ru at its relaxed geometry, from the Alexandria database.

## Properties
As for the crystal system: orthorhombic. As for the magnetic moment: 0.0 μB per cell. As for the space group: Cmmm (65). For the raw formation energy, the calculation gives -0.1716 eV/atom.

Structure (POSCAR):
```
SiNi2Ru
1.0
5.606 0.004 0.014
-2.181 3.844 -0.002
1.244 0.709 2.229
Ni Ru Si
2 1 1
Direct
0.000 0.000 0.000
0.500 0.000 0.500
0.000 0.500 0.500
0.500 0.500 0.000
```

***

Entry 9:
The following is a GGA-PBE calculation of crystalline YTi2Pd9 at its relaxed geometry, from the Alexandria database.

## Properties
As for the crystal system: tetragonal. As for the magnetic moment: 0.0 μB per cell. For the uncorrected energy, the calculation gives -0.475 Ry per atom. As for the space group: P4/mmm (123).

Structure (POSCAR):
```
YTi2Pd9
1.0
3.998 0.000 0.000
0.000 3.998 0.000
0.000 0.000 11.967
Y Ti Pd
1 2 9
Direct
0.000 0.000 0.000
0.000 0.000 0.336
0.000 0.000 0.664
0.500 0.500 0.000
0.500 0.500 0.340
0.500 0.500 0.660
0.500 0.000 0.181
0.500 0.000 0.500
0.500 0.000 0.819
0.000 0.500 0.181
0.000 0.500 0.500
0.000 0.500 0.819
```

***

Entry 10:
The following is a GGA-PBE calculation of crystalline KSn4Pb at its relaxed geometry, from the Alexandria database.

## Properties
As for the crystal system: orthorhombic. For the polymorph energy (0 for the lowest one), the calculation gives 0.019 eV per atom. As for the magnetic moment: 0.0 μB per cell. As for the space group: Immm (71).

Structure (POSCAR):
```
KSn4Pb
1.0
-3.909 -2.046 -2.046
-1.798 -5.703 3.358
-5.572 0.995 3.872
K Sn Pb
1 4 1
Direct
0.000 0.000 0.000
0.666 0.532 0.137
0.334 0.863 0.468
0.334 0.468 0.863
0.666 0.137 0.532
0.000 0.500 0.500
```

***

Entry 11:
The following is a GGA-PBE calculation of crystalline PPd2RuO at its relaxed geometry, from the Alexandria database.

## Properties
As for the crystal system: tetragonal. As for the magnetic moment: 0.0 μB per cell. As for the space group: P4/mmm (123). For the raw formation energy, the calculation gives 0.5101 eV/atom.

Structure (POSCAR):
```
PPd2RuO
1.0
4.972 0.000 0.000
0.000 3.564 0.000
0.000 0.000 4.972
Ru O Pd P
1 1 2 1
Direct
0.000 0.000 0.000
0.000 0.500 0.000
0.000 0.000 0.500
0.500 0.000 0.000
0.500 0.500 0.500
```

***

Entry 12:
The following is a GGA-PBE calculation of crystalline P2RuSe at its relaxed geometry, from the Alexandria database.

## Properties
As for the crystal system: orthorhombic. As for the magnetic moment: 0.0 μB per cell. As for the space group: Pmmm (47). For the raw formation energy, the calculation gives 0.2649 eV/atom.

Structure (POSCAR):
```
P2RuSe
1.0
-2.735 0.841 -0.930
-1.388 -1.522 2.707
0.515 5.198 3.186
P Ru Se
2 1 1
Direct
0.000 0.000 0.053
0.000 0.000 0.447
0.500 0.500 0.250
0.500 0.500 0.750
```

***

Entry 13:
The following is a GGA-PBE calculation of crystalline RbBa2Hf2 at its relaxed geometry, from the Alexandria database.

## Properties
As for the crystal system: tetragonal. For the polymorph energy (0 for the lowest one), the calculation gives 0.244 eV per atom. As for the magnetic moment: 0.2 μB per cell. As for the space group: P4/mbm (127).

Structure (POSCAR):
```
RbBa2Hf2
1.0
-5.588 5.210 7.321
-8.975 -2.807 -4.853
-0.149 -2.921 1.965
Hf Ba Rb
4 4 2
Direct
0.093 0.593 0.500
0.593 0.907 0.500
0.907 0.407 0.500
0.407 0.093 0.500
0.306 0.806 0.000
0.806 0.694 0.000
0.694 0.194 0.000
0.194 0.306 0.000
0.000 0.000 0.000
0.500 0.500 0.000
```

***

Entry 14:
The following is a GGA-PBE calculation of crystalline In4Hg2F at its relaxed geometry, from the Alexandria database.

## Properties
As for the crystal system: tetragonal. As for the magnetic moment: 0.0 μB per cell. As for the space group: I4/mmm (139). For the raw formation energy, the calculation gives -0.3445 eV/atom.

Structure (POSCAR):
```
In4Hg2F
1.0
4.909 0.000 0.000
0.000 4.909 0.000
-2.454 -2.454 7.991
F Hg In
1 2 4
Direct
0.000 0.000 0.000
0.629 0.629 0.259
0.371 0.371 0.741
0.818 0.818 0.636
0.182 0.182 0.364
0.000 0.500 0.000
0.500 0.000 0.000
```

***

Entry 15:
The following is a GGA-PBE calculation of crystalline NaTlCd2 at its relaxed geometry, from the Alexandria database.

## Properties
As for the crystal system: tetragonal. For the polymorph energy (0 for the lowest one), the calculation gives 0.000 eV per atom. As for the magnetic moment: 0.0 μB per cell. As for the space group: P4/mmm (123).

Structure (POSCAR):
```
NaTlCd2
1.0
-3.489 -3.377 -0.183
2.798 -2.763 -2.368
1.541 -1.806 3.929
Na Tl Cd
1 1 2
Direct
0.500 0.000 0.000
0.500 0.500 0.500
0.000 0.000 0.500
0.000 0.500 0.000
```

***

Entry 16:
The following is a GGA-PBE calculation of crystalline BeCrRh2 at its relaxed geometry, from the Alexandria database.

## Properties
As for the crystal system: tetragonal. As for the magnetic moment: 0.0 μB per cell. For the uncorrected energy, the calculation gives -0.526 Ry per atom. As for the space group: P4mm (99).

Structure (POSCAR):
```
BeCrRh2
1.0
-1.189 -1.569 1.904
1.153 -2.222 -1.111
5.080 0.743 3.784
Cr Rh Be
1 2 1
Direct
0.500 0.500 0.721
0.000 0.000 0.982
0.500 0.500 0.300
0.000 0.000 0.497
```

***

Entry 17:
The following is a GGA-PBE calculation of crystalline LaFeCo2 at its relaxed geometry, from the Alexandria database.

## Properties
As for the crystal system: orthorhombic. As for the magnetic moment: 5.1 μB per cell. For the uncorrected energy, the calculation gives -0.481 Ry per atom. As for the space group: Imm2 (44).

Structure (POSCAR):
```
LaFeCo2
1.0
-3.221 3.812 -1.845
-0.373 0.545 -5.279
-0.676 -3.271 4.141
Co Fe La
2 1 1
Direct
0.970 0.970 0.000
0.750 0.250 0.500
0.532 0.532 0.000
0.248 0.748 0.500
```

***

Entry 18:
The following is a GGA-PBE calculation of crystalline Pa2FeNiS5 at its relaxed geometry, from the Alexandria database.

## Properties
As for the crystal system: orthorhombic. As for the magnetic moment: 5.8 μB per cell. As for the space group: Cmc2_1 (36). For the raw formation energy, the calculation gives -1.1451 eV/atom.

Structure (POSCAR):
```
Pa2FeNiS5
1.0
-2.313 1.402 -2.611
2.811 -6.487 -3.267
-8.540 -5.911 4.390
Pa Fe Ni S
4 2 2 10
Direct
0.888 0.777 0.839
0.129 0.258 0.695
0.112 0.223 0.339
0.871 0.742 0.195
0.829 0.659 0.562
0.171 0.341 0.062
0.564 0.128 0.925
0.436 0.872 0.425
0.330 0.660 0.014
0.699 0.398 0.848
0.503 0.007 0.749
0.314 0.628 0.676
0.984 0.967 0.516
0.670 0.340 0.514
0.301 0.602 0.348
0.497 0.993 0.249
0.686 0.372 0.176
0.016 0.033 0.016
```

***

Entry 19:
The following is a GGA-PBE calculation of crystalline Nb2Tc2Mo at its relaxed geometry, from the Alexandria database.

## Properties
As for the crystal system: tetragonal. As for the magnetic moment: 0.0 μB per cell. For the uncorrected energy, the calculation gives -0.739 Ry per atom. As for the space group: P4/mbm (127).

Structure (POSCAR):
```
Nb2Tc2Mo
1.0
7.320 0.000 0.000
0.000 7.320 0.000
0.000 0.000 3.151
Mo Tc Nb
2 4 4
Direct
0.000 0.000 0.000
0.500 0.500 0.000
0.363 0.863 0.000
0.863 0.637 0.000
0.637 0.137 0.000
0.137 0.363 0.000
0.168 0.668 0.500
0.668 0.832 0.500
0.832 0.332 0.500
0.332 0.168 0.500
```